[1]
Material: Rb2MnI2Cl2
Method: DFT, PBE
State: optimized geometry

Cell: 8.084 8.084 8.447 Å, 118.27 118.27 32.92°
Positions (direct):
Rb 0.166 0.166 0.193
Rb 0.834 0.834 0.807
Mn 0.000 0.000 0.500
I 0.463 0.463 0.223
I 0.537 0.537 0.777
Cl 0.171 0.171 0.589
Cl 0.829 0.829 0.411

## Properties
The energy comes out at -0.142 Ha/atom. For the density of states at the Fermi level, the calculation gives 0.0000 states/eV/atom.

=====

[2]
Material: Rb2MnI2Cl4
Method: DFT, PBE
State: optimized geometry

Cell: 7.446 7.446 7.446 Å, 117.56 117.56 94.28°
Positions (direct):
Rb 0.250 0.750 0.500
Rb 0.750 0.250 0.500
Mn 0.000 0.000 0.000
I 0.270 0.270 0.000
I 0.730 0.730 0.000
Cl 0.209 0.209 0.419
Cl 0.209 0.791 0.000
Cl 0.791 0.209 0.000
Cl 0.791 0.791 0.581

## Properties
The energy comes out at -0.133 Ha/atom.

=====

[3]
Material: RbMnICl2
Method: DFT, PBE
State: optimized geometry

Cell: 5.127 5.127 5.856 Å, 90.00 90.00 90.00°
Positions (direct):
Rb 0.000 0.000 0.000
Mn 0.500 0.500 0.500
I 0.500 0.500 0.000
Cl 0.000 0.500 0.500
Cl 0.500 0.000 0.500

## Properties
The energy comes out at -0.157 Ha/atom.

=====

[4]
Material: MnS2ICl
Method: DFT, PBE
State: optimized geometry

Cell: 5.145 5.145 5.343 Å, 90.00 90.00 90.00°
Positions (direct):
Mn 0.000 0.000 0.000
S 0.000 0.500 0.500
S 0.500 0.000 0.500
I 0.500 0.500 0.500
Cl 0.500 0.500 0.000

## Properties
The energy comes out at -0.124 Ha/atom. For the density of states at the Fermi level, the calculation gives 0.3785 states/eV/atom.

=====

[5]
Material: MnS2ICl
Method: DFT, PBE
State: optimized geometry

Cell: 4.540 4.540 4.694 Å, 90.00 90.00 90.00°
Positions (direct):
Mn 0.000 0.000 0.000
S 0.000 0.500 0.000
S 0.500 0.000 0.000
I 0.500 0.500 0.500
Cl 0.000 0.000 0.500

## Properties
The energy comes out at -0.145 Ha/atom. For the density of states at the Fermi level, the calculation gives 0.9959 states/eV/atom.

=====

[6]
Material: MnSbI2Cl
Method: DFT, PBE
State: optimized geometry

Cell: 6.311 6.311 5.151 Å, 90.00 90.00 90.00°
Positions (direct):
Mn 0.000 0.000 0.000
Sb 0.500 0.500 0.000
I 0.000 0.500 0.500
I 0.500 0.000 0.500
Cl 0.500 0.500 0.500

## Properties
The energy comes out at -0.103 Ha/atom. For the density of states at the Fermi level, the calculation gives 1.4591 states/eV/atom.

=====

[7]
Material: MnSbI2Cl
Method: DFT, PBE
State: optimized geometry

Cell: 5.304 5.304 5.379 Å, 90.00 90.00 90.00°
Positions (direct):
Mn 0.000 0.000 0.000
Sb 0.000 0.000 0.500
I 0.000 0.500 0.000
I 0.500 0.000 0.000
Cl 0.500 0.500 0.500

## Properties
The energy comes out at -0.129 Ha/atom. For the density of states at the Fermi level, the calculation gives 0.7028 states/eV/atom.

=====

[8]
Material: MnTe2ICl
Method: DFT, PBE
State: optimized geometry

Cell: 4.980 4.980 5.454 Å, 90.00 90.00 90.00°
Positions (direct):
Mn 0.000 0.000 0.000
Te 0.000 0.500 0.000
Te 0.500 0.000 0.000
I 0.000 0.000 0.500
Cl 0.500 0.500 0.500

## Properties
The energy comes out at -0.126 Ha/atom. For the density of states at the Fermi level, the calculation gives 1.5071 states/eV/atom.